Density functional theory data (PBE-GGA) for a relaxed YMgIn crystal.

As for the space group: Amm2, No. 38.

Cell lengths 4.510, 7.518, 4.758 Å; angles 71.56, 90.00, 90.00 degrees
Fractional positions:
Y 0.507 0.328 0.677
Y 0.507 0.691 0.996
Mg 0.507 0.007 0.337
Mg 0.007 0.332 0.175
In 0.007 0.664 0.509
In 0.007 0.013 0.834



Density functional theory data (PBE-GGA) for a relaxed YMgIn2 crystal.

As for the space group: P4/mmm, No. 123.

Cell lengths 4.634, 4.634, 4.516 Å; angles 90.00, 90.00, 90.00 degrees
Fractional positions:
Y 0.000 0.500 0.500
Mg 0.500 0.000 0.500
In 0.000 0.000 0.000
In 0.500 0.500 0.000



| no. | magnetic moment (Bohr magnetons per cell) | mass density (g cm⁻³) | calculated formation energy (eV per formula unit) |
| --- | --- | --- | --- |
| 1 | 0.00 | 4.9 | -0.92 |
| 2 | 0.00 | 5.9 | -1.66 |